Entry 1:
NdAlSi2: relaxed, PBE.

Cell: 4.1678 4.1678 11.0936 Å, 90.00 90.00 120.00°
Space group P-3m1 (No. 164)
One atom of each set of equivalent atoms:
Nd: 0.0000 0.0000 0.1816
Al: 0.3333 0.6667 0.5848
Si: 0.3333 0.6667 0.3543
Si: 0.3333 0.6667 0.9944

Computed properties:
Calculated volume: 20.9 A^3/atom
Crystal system: trigonal
DOS(E_F): 2.16 states/eV per cell
Formation energy without anion corrections: -47 kJ/mol of atoms
E: -21.3 eV per formula unit

Entry 2:
Nd3Al2Si4: relaxed, PBE.

Cell: 11.1999 4.1855 8.6783 Å, 90.00 110.90 90.00°
Space group C2/m (No. 12)
One atom of each set of equivalent atoms:
Nd: 0.0000 0.0000 0.0000
Nd: 0.1186 0.5000 0.6927
Al: 0.1772 0.5000 0.3235
Si: 0.0990 0.0000 0.4078
Si: 0.2240 0.5000 0.0553

Computed properties:
Calculated volume: 21.1 A^3/atom
Energy relative to the lowest polymorph listed for this composition: 33.6 meV per atom
Crystal system: monoclinic
DOS(E_F): 6.64 states/eV per cell
Formation energy without anion corrections: -56 kJ/mol of atoms
E: -48.7 eV per formula unit

Entry 3:
Nd3Al2Si3: relaxed, PBE.

Cell: 4.2127 11.3440 14.6646 Å, 90.00 90.00 90.00°
Space group Cmcm (No. 63)
One atom of each set of equivalent atoms:
Nd: 0.0000 0.0646 0.1135
Nd: 0.0000 0.3589 0.2500
Al: 0.0000 0.2235 0.5978
Si: 0.0000 0.3497 0.7500
Si: 0.0000 0.3819 0.0411

Computed properties:
Calculated volume: 21.9 A^3/atom
Energy relative to the lowest polymorph listed for this composition: 9.5 meV per atom
Crystal system: orthorhombic
DOS(E_F): 25.92 states/eV per cell
Formation energy without anion corrections: -57 kJ/mol of atoms
E: -42.8 eV per formula unit

Entry 4:
TbNdAlSi: relaxed, PBE.

Cell: 4.0392 4.4120 11.1280 Å, 90.00 90.00 90.00°
Space group Amm2 (No. 38)
One atom of each set of equivalent atoms:
Tb: 0.0000 0.0000 0.0000
Nd: 0.5000 0.0000 0.7164
Al: 0.0000 0.0000 0.2933
Si: 0.5000 0.0000 0.4346

Computed properties:
Calculated volume: 24.8 A^3/atom
Crystal system: orthorhombic
DOS(E_F): 6.39 states/eV per cell
Formation energy without anion corrections: -60 kJ/mol of atoms
E: -21.0 eV per formula unit

Entry 5:
NdAl2SiTc2: relaxed, PBE.

Cell: 4.5163 4.5163 5.6988 Å, 90.00 90.00 90.00°
Space group P4/mmm (No. 123)
One atom of each set of equivalent atoms:
Nd: 0.0000 0.0000 0.0000
Al: 0.5000 0.5000 0.2473
Si: 0.0000 0.0000 0.5000
Tc: 0.0000 0.5000 0.5000

Computed properties:
Calculated volume: 19.4 A^3/atom
Crystal system: tetragonal
DOS(E_F): 4.53 states/eV per cell
Formation energy without anion corrections: -32 kJ/mol of atoms
E: -40.4 eV per formula unit

Entry 6:
NdThAlSi: relaxed, PBE.

Cell: 4.0597 4.4491 11.3193 Å, 90.00 90.00 90.00°
Space group Amm2 (No. 38)
One atom of each set of equivalent atoms:
Nd: 0.0000 0.0000 0.0000
Th: 0.5000 0.0000 0.2856
Al: 0.5000 0.0000 0.5745
Si: 0.0000 0.0000 0.7176

Computed properties:
Calculated volume: 25.6 A^3/atom
Crystal system: orthorhombic
DOS(E_F): 8.04 states/eV per cell
Formation energy without anion corrections: -54 kJ/mol of atoms
E: -23.6 eV per formula unit